[1]
This record from the Alexandria database describes a relaxed structure of SnAsCl. The functional is PBE.

For the excess energy over the best structure of this formula in the dataset, the calculation gives 38 meV/atom. The value obtained for the formation energy without anion corrections is -0.42 eV per atom. For the density of states at the Fermi level, the calculation gives 0.37 states/eV/f.u.

Cell lengths 10.0736, 10.0736, 3.8669 Å; angles 100.77, 100.77, 24.79 degrees
Positions (direct):
Sn  0.1230  0.1230  0.1544
Sn  0.8770  0.8770  0.8456
As  0.2311  0.7689  0.5000
As  0.6121  0.3879  0.0000
Cl  0.4439  0.1964  0.3145
Cl  0.8036  0.5561  0.6855

[2]
This record from the Alexandria database describes a relaxed structure of CuSi4Pt2. The functional is PBE.

The value obtained for the formation energy without anion corrections is -0.32 eV per atom. For the density of states at the Fermi level, the calculation gives 1.39 states/eV/f.u.

Cell lengths 6.2634, 6.2634, 7.0061 Å; angles 106.58, 106.58, 108.87 degrees
Positions (direct):
Cu  0.1208  0.8792  0.5000
Cu  0.8792  0.1208  0.0000
Si  0.3264  0.3443  0.2376
Si  0.3443  0.3264  0.7376
Si  0.4451  0.9049  0.3938
Si  0.4523  0.8990  0.9545
Si  0.7584  0.8308  0.1988
Si  0.8308  0.7584  0.6988
Si  0.8990  0.4523  0.4545
Si  0.9049  0.4451  0.8938
Pt  0.1324  0.8828  0.0880
Pt  0.3750  0.6283  0.5831
Pt  0.6283  0.3750  0.0831
Pt  0.8828  0.1324  0.5880

[3]
This record from the Alexandria database describes a relaxed structure of Li2Ca2Ac3Tl4. The functional is PBE.

For the density of states at the Fermi level, the calculation gives 13.62 states/eV/f.u. The formation energy comes out at -2.6 eV/f.u.

Cell lengths 5.2668, 5.2668, 15.2267 Å; angles 90.00, 90.00, 120.00 degrees
Positions (direct):
Li  0.3333  0.6667  0.1336
Li  0.6667  0.3333  0.8664
Ca  0.3333  0.6667  0.5726
Ca  0.6667  0.3333  0.4274
Ac  0.0000  0.0000  0.0000
Ac  0.0000  0.0000  0.2513
Ac  0.0000  0.0000  0.7487
Tl  0.3333  0.6667  0.3503
Tl  0.3333  0.6667  0.8799
Tl  0.6667  0.3333  0.1201
Tl  0.6667  0.3333  0.6497

[4]
This record from the Alexandria database describes a relaxed structure of Ba2MgH6Ir. The functional is PBE.

For the density of states at the Fermi level, the calculation gives 4.68 states/eV/f.u.

Cell lengths 5.9101, 5.9101, 5.2042 Å; angles 90.00, 90.00, 120.00 degrees
Positions (direct):
Ba  0.3333  0.6667  0.2920
Ba  0.6667  0.3333  0.7080
Mg  0.0000  0.0000  0.0000
H  0.1399  0.2798  0.6983
H  0.1399  0.8601  0.6983
H  0.2798  0.1399  0.3017
H  0.7202  0.8601  0.6983
H  0.8601  0.1399  0.3017
H  0.8601  0.7202  0.3017
Ir  0.0000  0.0000  0.5000

[5]
This record from the Alexandria database describes a relaxed structure of Fe2NiRh2. The functional is PBE.

For the excess energy over the best structure of this formula in the dataset, the calculation gives 164 meV/atom. For the density of states at the Fermi level, the calculation gives 6.04 states/eV/f.u. The formation energy comes out at 1.2 eV/f.u.

Cell lengths 6.9684, 6.9684, 2.8533 Å; angles 90.00, 90.00, 90.00 degrees
Positions (direct):
Fe  0.1465  0.3535  0.0000
Fe  0.3535  0.8535  0.0000
Fe  0.6465  0.1465  0.0000
Fe  0.8535  0.6465  0.0000
Ni  0.0000  0.0000  0.0000
Ni  0.5000  0.5000  0.0000
Rh  0.1530  0.6530  0.5000
Rh  0.3470  0.1530  0.5000
Rh  0.6530  0.8470  0.5000
Rh  0.8470  0.3470  0.5000

[6]
This record from the Alexandria database describes a relaxed structure of Pu2HgPd. The functional is PBE.

For the excess energy over the best structure of this formula in the dataset, the calculation gives 77 meV/atom. For the density of states at the Fermi level, the calculation gives 19.44 states/eV/f.u. The formation energy comes out at -0.7 eV/f.u.

Cell lengths 5.1598, 5.1598, 5.1598 Å; angles 60.00, 60.00, 60.00 degrees
Positions (direct):
Pu  0.2500  0.2500  0.2500
Pu  0.7500  0.7500  0.7500
Hg  0.0000  0.0000  0.0000
Pd  0.5000  0.5000  0.5000

[7]
This record from the Alexandria database describes a relaxed structure of AlCu2Tc. The functional is PBE.

For the density of states at the Fermi level, the calculation gives 1.51 states/eV/f.u. The formation energy comes out at 1.1 eV/f.u.

Cell lengths 9.5612, 9.5612, 9.5612 Å; angles 158.76, 158.76, 30.22 degrees
Positions (direct):
Al  0.0000  0.0000  0.0000
Al  0.7500  0.2500  0.5000
Cu  0.1238  0.6250  0.9988
Cu  0.3750  0.3738  0.4988
Cu  0.6262  0.1250  0.0012
Cu  0.8750  0.8762  0.5012
Tc  0.2500  0.7500  0.5000
Tc  0.5000  0.5000  0.0000

[8]
This record from the Alexandria database describes a relaxed structure of LaBeRh. The functional is PBE.

For the excess energy over the best structure of this formula in the dataset, the calculation gives 499 meV/atom. For the density of states at the Fermi level, the calculation gives 2.27 states/eV/f.u. The formation energy comes out at -0.1 eV/f.u.

Cell lengths 4.4193, 4.4193, 4.4193 Å; angles 60.00, 60.00, 60.00 degrees
Positions (direct):
La  0.0000  0.0000  0.0000
Be  0.2500  0.2500  0.2500
Rh  0.5000  0.5000  0.5000

[9]
This record from the Alexandria database describes a relaxed structure of InPb2Cl. The functional is PBE.

For the excess energy over the best structure of this formula in the dataset, the calculation gives 182 meV/atom. The value obtained for the formation energy without anion corrections is -0.13 eV per atom. For the density of states at the Fermi level, the calculation gives 2.38 states/eV/f.u.

Cell lengths 4.5502, 4.5502, 5.8719 Å; angles 90.00, 90.00, 90.00 degrees
Positions (direct):
In  0.0000  0.0000  0.0000
Pb  0.0000  0.5000  0.5000
Pb  0.5000  0.0000  0.5000
Cl  0.5000  0.5000  0.0000

[10]
This record from the Alexandria database describes a relaxed structure of Li2BiPd5. The functional is PBE.

For the excess energy over the best structure of this formula in the dataset, the calculation gives 0 meV/atom. For the density of states at the Fermi level, the calculation gives 3.96 states/eV/f.u. The formation energy comes out at -3.1 eV/f.u.

Cell lengths 5.5621, 5.5621, 5.5621 Å; angles 116.66, 116.66, 95.89 degrees
Positions (direct):
Li  0.0000  0.5000  0.5000
Li  0.5000  0.0000  0.5000
Bi  0.0000  0.0000  0.0000
Pd  0.0000  0.0000  0.5000
Pd  0.0000  0.5000  0.0000
Pd  0.5000  0.0000  0.0000
Pd  0.5000  0.5000  0.0000
Pd  0.5000  0.5000  0.5000

[11]
This record from the Alexandria database describes a relaxed structure of ZrBeTc2W. The functional is PBE.

For the density of states at the Fermi level, the calculation gives 4.66 states/eV/f.u. The formation energy comes out at 8.3 eV/f.u.

Cell lengths 4.6891, 4.6891, 5.0276 Å; angles 90.00, 90.00, 90.00 degrees
Positions (direct):
Zr  0.0000  0.0000  0.0000
Be  0.5000  0.5000  0.0000
Tc  0.0000  0.5000  0.5000
Tc  0.5000  0.0000  0.5000
W  0.0000  0.0000  0.5000

[12]
This record from the Alexandria database describes a relaxed structure of ReOsSe2N. The functional is PBE.

For the excess energy over the best structure of this formula in the dataset, the calculation gives 23 meV/atom. The value obtained for the formation energy without anion corrections is 1.20 eV per atom. For the density of states at the Fermi level, the calculation gives 6.10 states/eV/f.u.

Cell lengths 4.9710, 4.9710, 3.6447 Å; angles 90.00, 90.00, 90.00 degrees
Positions (direct):
Re  0.0000  0.0000  0.0000
Os  0.5000  0.5000  0.5000
Se  0.0000  0.5000  0.0000
Se  0.5000  0.0000  0.0000
N  0.0000  0.0000  0.5000

no.,calculated total energy (eV per atom),V (Å³ per cell),magnetic moment (μB/cell)
1,-3.92,161.5,0.000
2,-5.73,226.6,0.000
3,-2.93,365.8,0.000
4,-3.79,157.4,0.000
5,-7.25,138.6,15.875
6,-8.71,97.1,11.422
7,-5.30,114.6,0.000
8,-5.36,61.0,0.000
9,-3.13,121.6,0.000
10,-4.60,127.1,0.000
11,-7.53,110.5,0.978
12,-6.59,90.1,0.001